First-principles (GGA-PBE) data for an optimized crystal structure of Lu2GeH, as listed in Alexandria via LeMat-Bulk.

Computed properties:
Raw total energy (eV per atom): -4.577
Crystal system: trigonal

Unit cell a=4.3190 b=4.3190 c=7.0881 alpha=72.26 beta=72.26 gamma=60.00
Sites, in units of the cell vectors:
Ge1 0.5000 0.5000 0.5000
Lu1 0.1021 0.1021 0.6936
Lu2 0.8979 0.8979 0.3064
H1 0.0000 0.0000 0.0000

First-principles (GGA-PBE) data for an optimized crystal structure of MgGeH2, as listed in Alexandria via LeMat-Bulk.

Computed properties:
Energy above the most stable polymorph in this dataset (eV/f.u.): 0.74
Raw total energy (eV per atom): -2.740
Crystal system: cubic

Unit cell a=3.9806 b=3.9806 c=3.9806 alpha=60.00 beta=60.00 gamma=60.00
Sites, in units of the cell vectors:
H1 0.2500 0.2500 0.2500
H2 0.7500 0.7500 0.7500
Ge1 0.5000 0.5000 0.5000
Mg1 0.0000 0.0000 0.0000